(1)
First-principles (PBEsol) data for an optimized crystal structure of Cd2TeIr, as listed in the Alexandria database.

CIF file:
```
data_Cd2TeIr
_chemical_formula_sum 'Cd2 Te1 Ir1'
_space_group_name_H-M_alt 'P 1'
_space_group_IT_number 1
_cell_length_a 4.794
_cell_length_b 4.794
_cell_length_c 4.794
_cell_angle_alpha 60.00
_cell_angle_beta 60.00
_cell_angle_gamma 60.00
loop_
_space_group_symop_operation_xyz
'x,y,z'
loop_
_atom_site_label
_atom_site_type_symbol
_atom_site_fract_x
_atom_site_fract_y
_atom_site_fract_z
_atom_site_occupancy
Ir1 Ir 0.500 0.500 0.500 1
Te1 Te 0.250 0.250 0.250 1
Cd1 Cd 0.000 0.000 0.000 1
Cd2 Cd 0.750 0.750 0.750 1
```

Summary:
Formation energy without anion corrections, kJ per mole of atoms: 36.0
Symmetry: F-43m, No. 216
N(E_F), states/eV per cell: 2.53

***

(2)
First-principles (PBEsol) data for an optimized crystal structure of Cd2TeIr, as listed in the Alexandria database.

CIF file:
```
data_Cd2TeIr
_chemical_formula_sum 'Cd2 Te1 Ir1'
_space_group_name_H-M_alt 'P 1'
_space_group_IT_number 1
_cell_length_a 4.113
_cell_length_b 4.113
_cell_length_c 5.383
_cell_angle_alpha 112.46
_cell_angle_beta 112.46
_cell_angle_gamma 90.00
loop_
_space_group_symop_operation_xyz
'x,y,z'
loop_
_atom_site_label
_atom_site_type_symbol
_atom_site_fract_x
_atom_site_fract_y
_atom_site_fract_z
_atom_site_occupancy
Ir1 Ir 0.500 0.500 0.000 1
Te1 Te 0.000 0.000 0.000 1
Cd1 Cd 0.750 0.250 0.500 1
Cd2 Cd 0.250 0.750 0.500 1
```

Summary:
Formation energy without anion corrections, kJ per mole of atoms: 26.2
Symmetry: I4/mmm, No. 139
N(E_F), states/eV per cell: 1.80